[1]
CsLi2Gd4B5O15: optimized geometry, PBE-GGA.

Summary:
formation energy (no corrections)	-7412.7	kJ/mol of formula units
space group	No. 13
raw total energy	-982.37	eV per cell
density	5.2	g/cm3

Unit cell a=6.516 b=10.755 c=20.282 alpha=105.18 beta=90.00 gamma=90.00
Last column: magnetic moment on the atom in μB.
Element x y z (fractional)
Gd 0.658 0.957 0.150  6.93
Gd 0.356 0.643 0.054  -6.92
Gd 0.402 0.750 0.250  -6.92
Gd 0.644 0.357 0.946  -6.92
Gd 0.644 0.143 0.554  -6.92
Gd 0.649 0.657 0.546  6.92
Gd 0.356 0.857 0.446  -6.92
Gd 0.351 0.343 0.454  6.92
Gd 0.658 0.543 0.350  6.93
Gd 0.598 0.250 0.750  -6.92
Gd 0.412 0.250 0.250  -6.93
Gd 0.649 0.843 0.954  6.92
Gd 0.588 0.750 0.750  -6.93
Gd 0.351 0.157 0.046  6.92
Gd 0.342 0.043 0.850  6.93
Gd 0.342 0.457 0.650  6.93
O 0.350 0.331 0.142  0.00
O 0.308 0.230 0.946  0.00
O 0.045 0.750 0.250  0.00
O 0.009 0.541 0.341  0.00
O 0.308 0.270 0.554  0.00
O 0.675 0.557 0.639  0.00
O 0.734 0.317 0.307  0.00
O 0.692 0.955 0.474  0.00
O 0.991 0.041 0.841  0.00
O 0.308 0.045 0.526  0.00
O 0.318 0.737 0.523  0.00
O 0.944 0.750 0.750  0.00
O 0.680 0.465 0.453  0.00
O 0.676 0.161 0.851  0.00
O 0.629 0.436 0.846  0.00
O 0.371 0.936 0.346  0.00
O 0.722 0.717 0.301  0.00
O 0.266 0.683 0.693  0.00
O 0.680 0.035 0.047  0.00
O 0.734 0.183 0.193  0.00
O 0.278 0.217 0.801  0.00
O 0.496 0.532 0.761  0.00
O 0.955 0.250 0.750  0.00
O 0.496 0.968 0.739  0.00
O 0.006 0.843 0.430  0.00
O 0.991 0.459 0.659  0.00
O 0.266 0.817 0.807  0.00
O 0.692 0.545 0.026  0.00
O 0.650 0.669 0.858  0.00
O 0.994 0.343 0.930  0.00
O 0.000 0.659 0.560  0.00
O 0.350 0.169 0.358  0.00
O 0.278 0.283 0.699  0.00
O 0.325 0.443 0.361  0.00
O 0.324 0.839 0.149  0.00
O 0.000 0.341 0.440  0.00
O 0.675 0.943 0.861  0.00
O 0.676 0.339 0.649  0.00
O 0.325 0.057 0.139  0.00
O 0.371 0.564 0.154  0.00
O 0.318 0.763 0.977  0.00
O 0.692 0.770 0.054  0.00
O 0.722 0.783 0.199  0.00
O 0.692 0.730 0.446  0.00
O 0.000 0.841 0.940  0.00
O 0.320 0.965 0.953  0.00
O 0.320 0.535 0.547  0.00
O 0.006 0.657 0.070  0.00
O 0.056 0.250 0.250  0.00
O 0.629 0.064 0.654  0.00
O 0.504 0.032 0.261  0.00
O 0.682 0.263 0.477  0.00
O 0.650 0.831 0.642  0.00
O 0.682 0.237 0.023  0.00
O 0.009 0.959 0.159  0.00
O 0.308 0.455 0.974  0.00
O 0.994 0.157 0.570  0.00
O 0.000 0.159 0.060  0.00
O 0.504 0.468 0.239  0.00
O 0.324 0.661 0.351  0.00
Li 0.014 0.722 0.343  0.00
Li 0.022 0.138 0.152  0.00
Li 0.986 0.222 0.843  0.00
Li 0.022 0.362 0.348  0.00
Li 0.978 0.862 0.848  0.00
Li 0.978 0.638 0.652  0.00
Li 0.014 0.778 0.157  0.00
Li 0.986 0.278 0.657  0.00
Cs 0.094 0.557 0.860  0.00
Cs 0.906 0.443 0.140  0.00
Cs 0.906 0.057 0.360  0.00
Cs 0.094 0.943 0.640  0.00
B 0.798 0.357 0.458  0.00
B 0.202 0.857 0.958  0.00
B 0.592 0.955 0.677  0.00
B 0.784 0.048 0.851  0.00
B 0.592 0.545 0.823  0.00
B 0.216 0.952 0.149  0.00
B 0.202 0.643 0.542  0.00
B 0.798 0.143 0.042  0.00
B 0.408 0.455 0.177  0.00
B 0.216 0.548 0.351  0.00
B 0.193 0.157 0.549  0.00
B 0.807 0.657 0.049  0.00
B 0.844 0.250 0.250  0.00
B 0.807 0.843 0.451  0.00
B 0.834 0.750 0.250  0.00
B 0.193 0.343 0.951  0.00
B 0.408 0.045 0.323  0.00
B 0.166 0.250 0.750  0.00
B 0.156 0.750 0.750  0.00
B 0.784 0.452 0.649  0.00



[2]
CaCd2W: optimized geometry, PBE-GGA.

Summary:
space group	No. 44
raw total energy	-14.52	eV per cell
density	8.7	g/cm3
energy of formation from the pure elements	0.57	eV per atom
E above lowest polymorph	155	meV/atom

Unit cell a=6.093 b=6.093 c=6.093 alpha=150.81 beta=128.69 gamma=60.12
Element x y z (fractional)
W 0.513 0.513 0.000
Ca 0.254 0.754 0.500
Cd 0.745 0.245 0.500
Cd 0.988 0.988 0.000



[3]
Li4PrTl2Ag: optimized geometry, PBE-GGA.

Summary:
space group	No. 166
raw total energy	-21.56	eV per cell
density	6.8	g/cm3
energy of formation from the pure elements	-0.19	eV per atom

Unit cell a=4.927 b=4.927 c=8.480 alpha=73.11 beta=73.11 gamma=60.00
Element x y z (fractional)
Tl 0.741 0.741 0.777
Tl 0.259 0.259 0.223
Li 0.861 0.861 0.417
Li 0.606 0.606 0.183
Li 0.394 0.394 0.817
Li 0.139 0.139 0.583
Ag 0.500 0.500 0.500
Pr 0.000 0.000 0.000



[4]
Mo3Pt4Rh: optimized geometry, PBE-GGA.

Summary:
space group	No. 12
raw total energy	-64.34	eV per cell
density	15.0	g/cm3
energy of formation from the pure elements	-0.04	eV per atom

Unit cell a=2.755 b=4.226 c=11.259 alpha=95.01 beta=97.03 gamma=90.00
Element x y z (fractional)
Mo 0.000 0.500 0.000
Mo 0.156 0.211 0.313
Mo 0.844 0.789 0.687
Pt 0.602 0.680 0.203
Pt 0.398 0.320 0.797
Pt 0.278 0.264 0.557
Pt 0.722 0.736 0.443
Rh 0.500 0.000 0.000



[5]
BaNpCu2Cl8: optimized geometry, PBE-GGA.

Summary:
formation energy (no corrections)	-1625.5	kJ/mol of formula units
space group	No. 147
raw total energy	-54.68	eV per cell
density	4.1	g/cm3

Unit cell a=6.290 b=6.290 c=9.386 alpha=90.00 beta=90.00 gamma=120.00
Last column: magnetic moment on the atom in μB.
Element x y z (fractional)
Cl 0.991 0.318 0.680  -0.03
Cl 0.009 0.682 0.320  -0.03
Cl 0.682 0.674 0.680  -0.03
Cl 0.326 0.009 0.680  -0.03
Cl 0.333 0.667 0.002  -0.01
Cl 0.318 0.326 0.320  -0.03
Cl 0.667 0.333 0.998  -0.01
Cl 0.674 0.991 0.320  -0.03
Np 0.000 0.000 0.500  3.37
Cu 0.667 0.333 0.235  -0.11
Cu 0.333 0.667 0.765  -0.11
Ba 0.000 0.000 0.000  0.00



[6]
Pm6GeSb2Se3: optimized geometry, PBE-GGA.

Summary:
formation energy (no corrections)	-1722.8	kJ/mol of formula units
space group	No. 12
raw total energy	-69.68	eV per cell
density	6.9	g/cm3

Unit cell a=4.327 b=8.640 c=9.656 alpha=102.43 beta=102.95 gamma=90.00
Element x y z (fractional)
Se 0.500 0.500 0.000
Se 0.832 0.166 0.663
Se 0.168 0.834 0.337
Pm 0.663 0.589 0.326
Pm 0.002 0.763 0.004
Pm 0.337 0.411 0.674
Pm 0.998 0.237 0.996
Pm 0.339 0.926 0.678
Pm 0.661 0.074 0.322
Sb 0.833 0.666 0.666
Sb 0.167 0.334 0.334
Ge 0.500 0.000 0.000



[7]
LiAgMo2: optimized geometry, PBE-GGA.

Summary:
space group	No. 122
raw total energy	-47.76	eV per cell
density	7.6	g/cm3
energy of formation from the pure elements	0.64	eV per atom
E above lowest polymorph	439	meV/atom

Unit cell a=3.595 b=3.595 c=10.673 alpha=80.30 beta=80.30 gamma=90.00
Element x y z (fractional)
Mo 0.618 0.125 0.250
Mo 0.375 0.382 0.750
Mo 0.875 0.868 0.750
Mo 0.132 0.625 0.250
Li 0.250 0.750 0.500
Li 0.500 0.500 0.000
Ag 0.000 0.000 0.000
Ag 0.750 0.250 0.500



[8]
ScPd12Pt7: optimized geometry, PBE-GGA.

Summary:
space group	No. 166
raw total energy	-113.02	eV per cell
density	14.1	g/cm3
energy of formation from the pure elements	-0.10	eV per atom

Unit cell a=6.961 b=6.961 c=6.961 alpha=100.76 beta=100.76 gamma=100.76
Element x y z (fractional)
Pd 0.740 0.000 0.260
Pd 0.603 0.172 0.603
Pd 0.397 0.828 0.397
Pd 0.740 0.260 0.000
Pd 0.828 0.397 0.397
Pd 0.172 0.603 0.603
Pd 0.000 0.740 0.260
Pd 0.603 0.603 0.172
Pd 0.260 0.000 0.740
Pd 0.397 0.397 0.828
Pd 0.260 0.740 0.000
Pd 0.000 0.260 0.740
Pt 0.164 0.418 0.164
Pt 0.418 0.164 0.164
Pt 0.500 0.500 0.500
Pt 0.164 0.164 0.418
Pt 0.582 0.836 0.836
Pt 0.836 0.836 0.582
Pt 0.836 0.582 0.836
Sc 0.000 0.000 0.000



[9]
Ba6CdO3: optimized geometry, PBE-GGA.

Summary:
formation energy (no corrections)	-1354.1	kJ/mol of formula units
space group	No. 146
raw total energy	-41.36	eV per cell
density	5.1	g/cm3

Unit cell a=7.444 b=7.444 c=7.959 alpha=90.00 beta=117.88 gamma=120.00
Element x y z (fractional)
O 0.282 0.141 0.422
O 0.332 0.666 0.998
O 0.648 0.324 0.972
Ba 0.174 0.774 0.227
Ba 0.453 0.400 0.227
Ba 0.827 0.053 0.227
Ba 0.281 0.924 0.749
Ba 0.825 0.356 0.749
Ba 0.392 0.468 0.749
Cd 0.786 0.893 0.679



[10]
NaAg2H2: optimized geometry, PBE-GGA.

Summary:
space group	No. 127
raw total energy	-25.09	eV per cell
density	5.2	g/cm3
E above lowest polymorph	41	meV/atom

Unit cell a=7.327 b=7.327 c=2.877 alpha=90.00 beta=90.00 gamma=90.00
Element x y z (fractional)
Na 0.500 0.500 0.000
Na 0.000 0.000 0.000
H 0.757 0.257 0.000
H 0.743 0.757 0.000
H 0.257 0.243 0.000
H 0.243 0.743 0.000
Ag 0.864 0.364 0.500
Ag 0.364 0.136 0.500
Ag 0.636 0.864 0.500
Ag 0.136 0.636 0.500



[11]
Ba4Pd2F: optimized geometry, PBE-GGA.

Summary:
formation energy (no corrections)	-701.8	kJ/mol of formula units
space group	No. 139
raw total energy	-27.22	eV per cell
density	5.3	g/cm3

Unit cell a=5.363 b=5.363 c=9.269 alpha=106.82 beta=106.82 gamma=90.00
Element x y z (fractional)
Pd 0.623 0.623 0.245
Pd 0.377 0.377 0.755
Ba 0.500 0.000 0.000
Ba 0.807 0.807 0.615
Ba 0.193 0.193 0.385
Ba 0.000 0.500 0.000
F 0.000 0.000 0.000



[12]
AcTaAl: optimized geometry, PBE-GGA.

Summary:
space group	No. 123
raw total energy	-38.30	eV per cell
density	9.3	g/cm3
energy of formation from the pure elements	0.18	eV per atom

Unit cell a=5.142 b=3.635 c=11.774 alpha=90.00 beta=90.00 gamma=135.01
Element x y z (fractional)
Al 0.694 0.388 0.000
Al 0.195 0.389 0.500
Ta 0.695 0.389 0.396
Ta 0.695 0.389 0.604
Ac 0.194 0.389 0.200
Ac 0.194 0.389 0.800



What did the third record say?
Li4PrTl2Ag: optimized geometry, PBE-GGA.

Summary:
space group	No. 166
raw total energy	-21.56	eV per cell
density	6.8	g/cm3
energy of formation from the pure elements	-0.19	eV per atom

Unit cell a=4.927 b=4.927 c=8.480 alpha=73.11 beta=73.11 gamma=60.00
Element x y z (fractional)
Tl 0.741 0.741 0.777
Tl 0.259 0.259 0.223
Li 0.861 0.861 0.417
Li 0.606 0.606 0.183
Li 0.394 0.394 0.817
Li 0.139 0.139 0.583
Ag 0.500 0.500 0.500
Pr 0.000 0.000 0.000



Repeat the fifth record exactly.
BaNpCu2Cl8: optimized geometry, PBE-GGA.

Summary:
formation energy (no corrections)	-1625.5	kJ/mol of formula units
space group	No. 147
raw total energy	-54.68	eV per cell
density	4.1	g/cm3

Unit cell a=6.290 b=6.290 c=9.386 alpha=90.00 beta=90.00 gamma=120.00
Last column: magnetic moment on the atom in μB.
Element x y z (fractional)
Cl 0.991 0.318 0.680  -0.03
Cl 0.009 0.682 0.320  -0.03
Cl 0.682 0.674 0.680  -0.03
Cl 0.326 0.009 0.680  -0.03
Cl 0.333 0.667 0.002  -0.01
Cl 0.318 0.326 0.320  -0.03
Cl 0.667 0.333 0.998  -0.01
Cl 0.674 0.991 0.320  -0.03
Np 0.000 0.000 0.500  3.37
Cu 0.667 0.333 0.235  -0.11
Cu 0.333 0.667 0.765  -0.11
Ba 0.000 0.000 0.000  0.00



Repeat the eighth record exactly.
ScPd12Pt7: optimized geometry, PBE-GGA.

Summary:
space group	No. 166
raw total energy	-113.02	eV per cell
density	14.1	g/cm3
energy of formation from the pure elements	-0.10	eV per atom

Unit cell a=6.961 b=6.961 c=6.961 alpha=100.76 beta=100.76 gamma=100.76
Element x y z (fractional)
Pd 0.740 0.000 0.260
Pd 0.603 0.172 0.603
Pd 0.397 0.828 0.397
Pd 0.740 0.260 0.000
Pd 0.828 0.397 0.397
Pd 0.172 0.603 0.603
Pd 0.000 0.740 0.260
Pd 0.603 0.603 0.172
Pd 0.260 0.000 0.740
Pd 0.397 0.397 0.828
Pd 0.260 0.740 0.000
Pd 0.000 0.260 0.740
Pt 0.164 0.418 0.164
Pt 0.418 0.164 0.164
Pt 0.500 0.500 0.500
Pt 0.164 0.164 0.418
Pt 0.582 0.836 0.836
Pt 0.836 0.836 0.582
Pt 0.836 0.582 0.836
Sc 0.000 0.000 0.000



Q: Which of these has the highest raw total energy?
A: CaCd2W